A relaxed NaLi2PuP2 crystal, computed with PBE-GGA.

The structure in POSCAR format:
```
NaLi2PuP2
1.0
4.2151 0.0000 0.0000
-2.1076 3.6504 0.0000
0.0000 0.0000 7.0335
P Pu Li Na
2 1 2 1
Direct
0.3333 0.6667 0.2268 P
0.6667 0.3333 0.7732 P
0.0000 0.0000 0.0000 Pu
0.6667 0.3333 0.3089 Li
0.3333 0.6667 0.6911 Li
0.0000 0.0000 0.5000 Na
```

Values from the calculation:
For the energy relative to the elements, the calculation gives -737 meV/atom. The value obtained for the calculated volume is 108.2 Å³ per cell.